Entry 1:
Here is an optimized crystal structure of PmAlCuGe2 from the Alexandria database. Energies are from PBE.

Values from the calculation:
The total energy is -48.1 eV/cell. The magnetic moment is 0.0 Bohr magnetons per cell.

abc: 4.0507 4.0507 11.5318
angles: 90.00 90.00 90.00
With the nearest neighbours (Å) after each atom.
Space group I-4m2 (No. 119)
Unique sites:
1 Pm 0.0000 0.0000 0.0000  8 Ge 3.15, 4 Cu 3.52, 4 Al 3.52
2 Al 0.0000 0.5000 0.2500  4 Ge 2.56, 4 Cu 2.86
3 Cu 0.0000 0.5000 0.7500  4 Ge 2.56, 4 Al 2.86
4 Ge 0.0000 0.0000 0.3864  2 Al 2.56, 2 Cu 2.56, 1 Ge 2.62

Entry 2:
Here is an optimized crystal structure of La2SbCl from the Alexandria database. Energies are from PBE.

Values from the calculation:
The calculation puts the formation energy without anion corrections at -0.941 eV per atom. The magnetic moment is 0.0 Bohr magnetons per cell.

abc: 6.7364 6.7364 14.4089
angles: 90.00 90.00 90.00
With the nearest neighbours (Å) after each atom.
Space group I-42d (No. 122)
Unique sites:
1 La 0.2275 0.2500 0.1250  2 Cl 2.90, 2 Sb 3.07
2 Sb 0.0000 0.0000 0.5000  4 La 3.07
3 Cl 0.0000 0.0000 0.0000  4 La 2.90

Entry 3:
Here is an optimized crystal structure of ScBrCl from the Alexandria database. Energies are from PBE.

Values from the calculation:
The calculation puts the formation energy without anion corrections at -1.693 eV per atom. The magnetic moment is 0.0 Bohr magnetons per cell.

abc: 3.6697 3.6697 6.9613
angles: 90.00 90.00 120.00
With the nearest neighbours (Å) after each atom.
Space group P3m1 (No. 156)
Unique sites:
1 Sc 0.0000 0.0000 0.0000  3 Cl 2.61, 3 Br 2.72
2 Br 0.6667 0.3333 0.2448  3 Sc 2.72
3 Cl 0.3333 0.6667 0.7823  3 Sc 2.61

Entry 4:
Here is an optimized crystal structure of K2Cd6Ag9 from the Alexandria database. Energies are from PBE.

Values from the calculation:
The total energy is -33.0 eV/cell. The magnetic moment is 0.0 Bohr magnetons per cell.

abc: 5.8447 5.8447 14.3071
angles: 90.00 90.00 120.00
With the nearest neighbours (Å) after each atom.
Space group P6/mmm (No. 191)
Unique sites:
1 K 0.0000 0.0000 0.1737  6 Cd 3.38, 6 Ag 3.71
2 Cd 0.3333 0.6667 0.1664  6 Ag 2.92-2.93
3 Cd 0.3333 0.6667 0.5000  6 Ag 2.92
4 Ag 0.0000 0.5000 0.0000  4 Cd 2.92, 4 Ag 2.92
5 Ag 0.0000 0.5000 0.3338  4 Cd 2.92-2.93, 4 Ag 2.92

Entry 5:
Here is an optimized crystal structure of Pr8Rh3SI3 from the Alexandria database. Energies are from PBE.

Values from the calculation:
The calculation puts the formation energy without anion corrections at -0.909 eV per atom. The magnetic moment is 0.0 Bohr magnetons per cell.

abc: 8.4846 8.4846 23.6503
angles: 90.00 90.00 120.00
With the nearest neighbours (Å) after each atom.
Space group R-3m (No. 166, hexagonal axes)
Unique sites:
1 Pr 0.0000 0.0000 0.2299  3 Rh 2.87
2 Pr 0.0114 0.5057 0.7689  2 Rh 2.85, 1 S 2.96
3 Rh 0.0000 0.5000 0.5000  6 Pr 2.85-2.87
4 S 0.0000 0.0000 0.5000  6 Pr 2.96
5 I 0.0000 0.5000 0.0000  6 Pr 3.46-3.47

Entry 6:
Here is an optimized crystal structure of Tb2Pm3Nd3 from the Alexandria database. Energies are from PBE.

Values from the calculation:
For the energy above the most stable polymorph in this dataset, the calculation gives 0 meV/atom. The magnetic moment is 0.0 Bohr magnetons per cell.

abc: 5.8727 14.7367 6.3686
angles: 90.00 90.00 90.00
With the nearest neighbours (Å) after each atom.
Space group Pmmn (No. 59, origin choice 2)
Unique sites:
1 Tb 0.2500 0.1256 0.1639  5 Pm 3.62-3.69, 6 Nd 3.62-3.70, 1 Tb 3.67
2 Pm 0.2500 0.2500 0.6624  4 Nd 3.62-3.69, 4 Pm 3.63, 4 Tb 3.67-3.68
3 Pm 0.2500 0.6249 0.1675  3 Tb 3.62-3.69, 6 Nd 3.62-3.70, 3 Pm 3.63-3.69
4 Nd 0.2500 0.9999 0.6671  5 Pm 3.62-3.69, 3 Nd 3.63-3.68, 4 Tb 3.63-3.70
5 Nd 0.2500 0.7500 0.6705  4 Tb 3.62, 6 Pm 3.62-3.70, 2 Nd 3.68

Entry 7:
Here is an optimized crystal structure of NaTcGe3 from the Alexandria database. Energies are from PBE.

Values from the calculation:
For the energy above the most stable polymorph in this dataset, the calculation gives 0 meV/atom. The magnetic moment is 0.0 Bohr magnetons per cell.

abc: 4.8836 4.8836 4.8836
angles: 90.00 90.00 90.00
With the nearest neighbours (Å) after each atom.
Space group Pm-3m (No. 221)
Unique sites:
1 Na 0.0000 0.0000 0.0000  12 Ge 3.45
2 Tc 0.5000 0.5000 0.5000  6 Ge 2.44
3 Ge 0.0000 0.5000 0.5000  2 Tc 2.44

Entry 8:
Here is an optimized crystal structure of Hf2PaBi from the Alexandria database. Energies are from PBE.

Values from the calculation:
For the energy above the most stable polymorph in this dataset, the calculation gives 94 meV/atom. The magnetic moment is 0.0 Bohr magnetons per cell.

abc: 3.2819 3.2819 31.7638
angles: 90.00 90.00 120.00
With the nearest neighbours (Å) after each atom.
Space group R3m (No. 160, hexagonal axes)
Unique sites:
1 Hf 0.0000 0.0000 0.0000  3 Pa 3.24, 3 Bi 3.26, 6 Hf 3.28
2 Hf 0.0000 0.0000 0.1657  3 Pa 3.24, 3 Bi 3.27, 6 Hf 3.28
3 Pa 0.0000 0.0000 0.4162  6 Hf 3.24, 6 Pa 3.28
4 Bi 0.0000 0.0000 0.5831  6 Hf 3.26-3.27, 6 Bi 3.28